PmFeMo: relaxed, PBE.

```
6
Lattice="-2.7714 2.1442 0.0809 -1.7040 0.7864 -3.2888 -7.6461 -7.1249 2.8323" Properties=species:S:1:pos:R:3 pbc="T T T"
Mo -7.1489 -0.5988 -1.2483
Mo -4.9727 -3.5955 0.8726
Fe -2.8928 2.0268 -0.9647
Fe -9.2287 -6.2211 0.5891
Pm -2.7288 -0.6754 0.3489
Pm -9.3928 -3.5189 -0.7246
```

space group: C2/m
formation enthalpy at 0 K: 452 meV/atom
total energy: -45.377 eV per cell